Density functional theory data (PBE) for MnSbP2S after structural relaxation.

Energy above the most stable polymorph in this dataset ... 737 meV per atom
Calculated volume ... 127 Å³/cell
Spin magnetization ... 0.71 μB/atom
Density of states at the Fermi level ... 0.706 states/eV per atom
Energy ... -0.1675 Ha/atom

Unit cell a=5.055 b=5.055 c=4.952 alpha=90.00 beta=90.00 gamma=90.00
Space group P4/mmm (No. 123)
Inequivalent atoms, fractional coordinates:
Mn: 0.000 0.000 0.000 [1 per cell]
Sb: 0.500 0.500 0.500 [1 per cell]
P: 0.000 0.500 0.500 [2 per cell]
S: 0.500 0.500 0.000 [1 per cell]